Y3Zn3Cu8: relaxed, PBE.

a b c (Å): 4.222 7.890 7.890
angles (deg): 68.18 74.48 74.48
Fractional positions:
Y: 0.500 0.500 0.500
Y: 0.799 0.201 0.201
Y: 0.201 0.799 0.799
Zn: 0.500 0.000 0.000
Zn: 0.000 0.791 0.209
Zn: 0.000 0.209 0.791
Cu: 0.629 0.090 0.653
Cu: 0.371 0.910 0.347
Cu: 0.629 0.653 0.090
Cu: 0.371 0.347 0.910
Cu: 0.829 0.812 0.529
Cu: 0.171 0.188 0.471
Cu: 0.829 0.529 0.812
Cu: 0.171 0.471 0.188

Calculated values
crystal system: orthorhombic
symmetry: Immm, No. 71
formation energy from the elements: -0.24 eV/atom

---

NaCa3Se4: relaxed, PBE.

a b c (Å): 5.961 5.961 5.961
angles (deg): 90.00 90.00 90.00
Site moments in Bohr magnetons follow the coordinates.
Fractional positions:
Na: 0.000 0.000 0.000  0.00
Ca: 0.000 0.500 0.500  0.00
Ca: 0.500 0.000 0.500  0.00
Ca: 0.500 0.500 0.000  0.00
Se: 0.500 0.000 0.000  0.15
Se: 0.000 0.500 0.000  0.15
Se: 0.000 0.000 0.500  0.15
Se: 0.500 0.500 0.500  0.01

Calculated values
crystal system: cubic
symmetry: Pm-3m, No. 221
energy relative to the elements, uncorrected: -1626 meV per atom

---

EuGdPt: relaxed, PBE.

a b c (Å): 4.445 4.445 5.316
angles (deg): 90.00 90.00 120.00
Site moments in Bohr magnetons follow the coordinates.
Fractional positions:
Eu: 0.000 0.000 0.928  6.86
Gd: 0.333 0.667 0.428  7.11
Pt: 0.667 0.333 0.644  -0.03

Calculated values
crystal system: trigonal
symmetry: P3m1, No. 156
polymorph energy (0 for the lowest one): 90 meV/atom
formation energy from the elements: -0.66 eV/atom

---

LiInAsO4: relaxed, PBE.

a b c (Å): 6.454 6.149 6.149
angles (deg): 63.06 58.34 58.34
Fractional positions:
Li: 0.000 0.000 0.000
Li: 0.000 0.500 0.500
In: 0.500 0.000 0.500
In: 0.000 0.000 0.500
As: 0.641 0.609 0.109
As: 0.359 0.391 0.891
O: 0.758 0.761 0.722
O: 0.242 0.778 0.739
O: 0.758 0.222 0.261
O: 0.242 0.239 0.278
O: 0.293 0.731 0.231
O: 0.746 0.731 0.231
O: 0.254 0.269 0.769
O: 0.707 0.269 0.769

Calculated values
crystal system: orthorhombic
symmetry: Imma, No. 74
energy relative to the elements, uncorrected: -1410 meV per atom